An optimized crystal structure of DyTm6Te2Pd2. Source: OQMD via LeMat-Bulk, functional PBE.

Summary:
Calculated total energy (eV per atom): -5.23

Lattice parameters (Å, degrees): 9.327 9.327 9.327 155.85 66.97 118.60
Element x y z (fractional)
1 Tm 0.977 0.106 0.871
2 Tm 0.236 0.106 0.129
3 Tm 0.581 0.898 0.683
4 Tm 0.215 0.898 0.317
5 Tm 0.614 0.259 0.355
6 Tm 0.903 0.259 0.645
7 Pd 0.356 0.593 0.762
8 Pd 0.831 0.593 0.238
9 Te 0.861 0.861 0.000
10 Te 0.257 0.757 0.500
11 Dy 0.523 0.523 0.000